Entry 1:
Below is crystalline ThCuNi at its relaxed geometry, with properties calculated at the PBE-GGA level.

The space group is F-43m (No. 216) and the conventional cell measures 6.271, 6.271 and 6.271 Å, with angles of 90.00, 90.00 and 90.00 degrees. Symmetry generates all atoms from Th at (0.000, 0.000, 0.000), Cu at (0.000, 0.000, 0.500) and Ni at (0.250, 0.250, 0.250).

The formation energy is -0.137 eV per atom. As for the crystal system: cubic. The total magnetic moment comes out at 0.00 μB per formula unit.

Entry 2:
Below is crystalline ScZnCdNi at its relaxed geometry, with properties calculated at the PBE-GGA level.

The space group is F-43m (No. 216) and the conventional cell measures 6.405, 6.405 and 6.405 Å, with angles of 90.00, 90.00 and 90.00 degrees. Symmetry generates all atoms from Sc at (0.000, 0.000, 0.000), Zn at (0.250, 0.250, 0.250), Cd at (0.250, 0.250, 0.750) and Ni at (0.000, 0.000, 0.500).

The formation energy is -0.191 eV per atom. As for the crystal system: cubic. The total magnetic moment comes out at 0.00 μB per formula unit.

Entry 3:
Below is crystalline SnPd2Pt at its relaxed geometry, with properties calculated at the PBE-GGA level.

The space group is F-43m (No. 216) and the conventional cell measures 6.424, 6.424 and 6.424 Å, with angles of 90.00, 90.00 and 90.00 degrees. Symmetry generates all atoms from Sn at (0.000, 0.000, 0.000), Pd at (0.000, 0.000, 0.500), Pd at (0.250, 0.250, 0.750) and Pt at (0.250, 0.250, 0.250).

As for the crystal system: cubic. The total magnetic moment comes out at 0.00 μB per formula unit.

Entry 4:
Below is crystalline LaTbCu2Si2 at its relaxed geometry, with properties calculated at the PBE-GGA level.

The space group is P-3m1 (No. 164) and the conventional cell measures 4.1973, 4.1973 and 7.8666 Å, with angles of 90.00, 90.00 and 120.00 degrees. Symmetry generates all atoms from La at (0.0000, 0.0000, 0.0000), Tb at (0.0000, 0.0000, 0.5000), Cu at (0.3333, 0.6667, 0.2686) and Si at (0.3333, 0.6667, 0.7360).

As for the crystal system: trigonal. The total magnetic moment comes out at 0.01 μB per formula unit.

Entry 5:
Below is crystalline NaHfAs at its relaxed geometry, with properties calculated at the PBE-GGA level.

The space group is P-6m2 (No. 187) and the conventional cell measures 4.6366, 4.6366 and 9.3299 Å, with angles of 90.00, 90.00 and 120.00 degrees. Symmetry generates all atoms from Na at (0.0000, 0.0000, 0.0000), Na at (0.6667, 0.3333, 0.3263), Hf at (0.3333, 0.6667, 0.1592), Hf at (0.3333, 0.6667, 0.5000), As at (0.0000, 0.0000, 0.3168) and As at (0.6667, 0.3333, 0.0000).

Its energy relative to the lowest polymorph listed for this composition is 0.0967 eV per atom. As for the crystal system: hexagonal. The total magnetic moment comes out at 0.17 μB per formula unit.

Entry 6:
Below is crystalline DyHoGa2Ir4 at its relaxed geometry, with properties calculated at the PBE-GGA level.

The space group is P-6m2 (No. 187) and the conventional cell measures 4.3310, 4.3310 and 8.9879 Å, with angles of 90.00, 90.00 and 120.00 degrees. Symmetry generates all atoms from Dy at (0.0000, 0.0000, 0.0000), Ho at (0.3333, 0.6667, 0.5000), Ga at (0.6667, 0.3333, 0.2502), Ir at (0.0000, 0.0000, 0.3363) and Ir at (0.3333, 0.6667, 0.1652).

Its energy relative to the lowest polymorph listed for this composition is 0.0000 eV per atom. As for the crystal system: hexagonal. The total magnetic moment comes out at 0.02 μB per formula unit.

Entry 7:
Below is crystalline BaLiGdSe3 at its relaxed geometry, with properties calculated at the PBE-GGA level.

The space group is Cmcm (No. 63) and the conventional cell measures 4.285, 14.080 and 10.826 Å, with angles of 90.00, 90.00 and 90.00 degrees. Symmetry generates all atoms from Ba at (0.000, 0.246, 0.250), Li at (0.000, 0.029, 0.750), Gd at (0.000, 0.500, 0.000), Se at (0.000, 0.134, 0.561) and Se at (0.000, 0.431, 0.750).

Its energy relative to the lowest polymorph listed for this composition is 0.0000 eV per atom. As for the crystal system: orthorhombic. The total magnetic moment comes out at 0.01 μB per formula unit.

Entry 8:
Below is crystalline LaHoAg2Bi4 at its relaxed geometry, with properties calculated at the PBE-GGA level.

The space group is P4mm (No. 99) and the conventional cell measures 4.572, 4.572 and 10.433 Å, with angles of 90.00, 90.00 and 90.00 degrees. Symmetry generates all atoms from La at (0.000, 0.000, 0.000), Ho at (0.500, 0.500, 0.498), Ag at (0.000, 0.500, 0.744), Bi at (0.000, 0.000, 0.559), Bi at (0.000, 0.500, 0.256) and Bi at (0.500, 0.500, 0.931).

As for the crystal system: tetragonal. The total magnetic moment comes out at 0.01 μB per formula unit.

Entry 9:
Below is crystalline NaCdMo at its relaxed geometry, with properties calculated at the PBE-GGA level.

The space group is F-43m (No. 216) and the conventional cell measures 6.790, 6.790 and 6.790 Å, with angles of 90.00, 90.00 and 90.00 degrees. Symmetry generates all atoms from Na at (0.000, 0.000, 0.000), Cd at (0.250, 0.250, 0.750) and Mo at (0.000, 0.000, 0.500).

Its energy relative to the lowest polymorph listed for this composition is 0.0000 eV per atom. As for the crystal system: cubic. The total magnetic moment comes out at 3.96 μB per formula unit.

Entry 10:
Below is crystalline Ag2I2O at its relaxed geometry, with properties calculated at the PBE-GGA level.

The space group is Fddd (No. 70, origin choice 2) and the conventional cell measures 8.413, 10.404 and 11.897 Å, with angles of 90.00, 90.00 and 90.00 degrees. Symmetry generates all atoms from Ag at (0.000, 0.000, 0.000), I at (0.125, 0.304, 0.625) and O at (0.125, 0.125, 0.125).

As for the crystal system: orthorhombic.

Entry 11:
Below is crystalline Hf2Bi2Os3 at its relaxed geometry, with properties calculated at the PBE-GGA level.

The space group is R3m (No. 160, hexagonal axes) and the conventional cell measures 4.6118, 4.6118 and 22.4966 Å, with angles of 90.00, 90.00 and 120.00 degrees. Symmetry generates all atoms from Hf at (0.0000, 0.0000, 0.0000), Hf at (0.0000, 0.0000, 0.4944), Bi at (0.0000, 0.0000, 0.2401), Bi at (0.0000, 0.0000, 0.7511), Os at (0.0000, 0.0000, 0.3692), Os at (0.0000, 0.0000, 0.6210) and Os at (0.0000, 0.0000, 0.8748).

As for the crystal system: trigonal. The total magnetic moment comes out at 0.02 μB per formula unit.

Entry 12:
Below is crystalline RbReNO at its relaxed geometry, with properties calculated at the PBE-GGA level.

The space group is Pmc2_1 (No. 26) and the conventional cell measures 3.717, 6.253 and 5.801 Å, with angles of 90.00, 90.00 and 90.00 degrees. Symmetry generates all atoms from Rb at (0.000, 0.096, 0.000), Re at (0.500, 0.436, 0.409), N at (0.000, 0.389, 0.380) and O at (0.500, 0.295, 0.715).

Its energy relative to the lowest polymorph listed for this composition is 0.0565 eV per atom. As for the crystal system: orthorhombic. The total magnetic moment comes out at 0.00 μB per formula unit.

| no. | E (hartree per atom) |
| --- | --- |
| 1 | -0.2096 |
| 2 | -0.1362 |
| 3 | -0.2029 |
| 4 | -0.1943 |
| 5 | -0.1923 |
| 6 | -0.2539 |
| 7 | -0.1834 |
| 8 | -0.1629 |
| 9 | -0.1130 |
| 10 | -0.1022 |
| 11 | -0.3224 |
| 12 | -0.2629 |